Li2Hg | PBEsol | relaxed

abc: 3.373 3.373 5.090
angles: 109.35 109.35 90.00
Sites, in units of the cell vectors:
1 Li 0.838 0.838 0.676
2 Li 0.162 0.162 0.324
3 Hg 0.500 0.500 0.000

* calculated formation energy: -0.34 eV/atom
* symmetry: I4/mmm (139)

***

CaSb4Ir | PBEsol | relaxed

abc: 6.003 6.003 6.003
angles: 60.00 60.00 60.00
Sites, in units of the cell vectors:
1 Sb 0.374 0.877 0.374
2 Sb 0.374 0.374 0.877
3 Sb 0.877 0.374 0.374
4 Sb 0.374 0.374 0.374
5 Ir 0.000 0.000 0.000
6 Ca 0.750 0.750 0.750

* formation energy without anion corrections: 0.483 eV per atom
* symmetry: F-43m (216)

***

LaZrCd | PBEsol | relaxed

abc: 3.299 3.299 7.313
angles: 103.04 103.04 90.00
Sites, in units of the cell vectors:
1 La 0.334 0.334 0.667
2 Zr 0.654 0.654 0.308
3 Cd 0.013 0.013 0.025

* relative energy among the computed polymorphs: 0 meV per atom
* calculated formation energy: -0.05 eV/atom
* symmetry: I4mm (107)

***

K3Nd3Br10 | PBEsol | relaxed

abc: 8.031 8.764 13.479
angles: 90.00 90.00 90.67
Sites, in units of the cell vectors:
1 Br 0.625 0.489 0.689
2 Br 0.068 0.484 0.786
3 Br 0.938 0.792 0.619
4 Br 0.409 0.985 0.211
5 Br 0.071 0.018 0.825
6 Br 0.578 0.706 0.378
7 Br 0.684 0.042 0.989
8 Br 0.375 0.511 0.189
9 Br 0.932 0.516 0.286
10 Br 0.197 0.532 0.490
11 Br 0.803 0.468 0.990
12 Br 0.929 0.982 0.325
13 Br 0.422 0.294 0.878
14 Br 0.316 0.958 0.489
15 Br 0.078 0.778 0.095
16 Br 0.591 0.015 0.711
17 Br 0.062 0.208 0.119
18 Br 0.922 0.222 0.595
19 Br 0.595 0.273 0.426
20 Br 0.405 0.727 0.926
21 Nd 0.819 0.533 0.499
22 Nd 0.198 0.747 0.320
23 Nd 0.802 0.253 0.820
24 Nd 0.181 0.467 0.999
25 Nd 0.707 0.959 0.500
26 Nd 0.293 0.041 0.000
27 K 0.213 0.247 0.339
28 K 0.787 0.753 0.839
29 K 0.309 0.253 0.646
30 K 0.314 0.742 0.688
31 K 0.691 0.747 0.146
32 K 0.686 0.258 0.188

* formation energy without anion corrections: -1.726 eV per atom
* symmetry: P2_1 (4)

***

SrAsAu2 | PBEsol | relaxed

abc: 4.405 4.635 5.650
angles: 112.23 90.00 118.37
Sites, in units of the cell vectors:
1 As 0.286 0.573 0.886
2 Au 0.983 0.967 0.950
3 Au 0.723 0.445 0.157
4 Sr 0.507 0.015 0.507

* calculated formation energy: -0.46 eV/atom
* symmetry: Cm (8)

***

Mg3Au | PBEsol | relaxed

abc: 4.709 4.709 4.709
angles: 60.00 60.00 60.00
Sites, in units of the cell vectors:
1 Mg 0.250 0.250 0.250
2 Mg 0.750 0.750 0.750
3 Mg 0.500 0.500 0.500
4 Au 0.000 0.000 0.000

* relative energy among the computed polymorphs: 94 meV per atom
* calculated formation energy: -0.32 eV/atom
* symmetry: Fm-3m (225)

***

K2TaNi | PBEsol | relaxed

abc: 2.932 4.025 10.557
angles: 101.14 97.98 90.00
Sites, in units of the cell vectors:
1 K 0.645 0.646 0.290
2 K 0.355 0.354 0.710
3 Ni 0.000 0.500 0.000
4 Ta 0.500 0.000 0.000

* relative energy among the computed polymorphs: 57 meV per atom
* calculated formation energy: 0.67 eV/atom
* symmetry: C2/m (12)

***

Zr2ZnFe | PBEsol | relaxed

abc: 3.238 3.238 8.018
angles: 78.35 78.35 60.00
Sites, in units of the cell vectors:
1 Fe 0.500 0.500 0.500
2 Zn 0.000 0.000 0.000
3 Zr 0.760 0.760 0.721
4 Zr 0.240 0.240 0.279

* calculated formation energy: 0.03 eV/atom
* symmetry: R-3m (166)

***

| no. | final energy (eV/cell) | V (Å³/f.u.) | ρ (g/cm3) |
| --- | --- | --- | --- |
| 1 | -5.52 | 51.2 | 7.0 |
| 2 | -27.29 | 152.9 | 7.8 |
| 3 | -15.80 | 75.4 | 7.5 |
| 4 | -130.42 | 474.3 | 4.7 |
| 5 | -16.65 | 91.7 | 10.1 |
| 6 | -10.37 | 73.8 | 6.1 |
| 7 | -18.30 | 121.0 | 4.4 |
| 8 | -28.60 | 70.8 | 7.1 |